The following is a DFT calculation (SCAN) of a PBEsol-optimized structure of Cu2TePb.

Distance to the lowest polymorph of the same formula, meV/atom: 0
N(E_F), states/eV per atom: 0.320
Density, g cm⁻³: 8.985

Lattice parameters (Å, degrees): 6.4082 6.4082 6.4082 36.99 36.99 36.99
Last column: nearest neighbours and their distance in Å.
Fractional positions:
1 Cu 0.0000 0.0000 0.0000  3 Cu 2.41
2 Cu 0.3017 0.3017 0.3017  3 Cu 2.41, 3 Te 2.62
3 Te 0.5696 0.5696 0.5696  6 Cu 2.62-2.92
4 Pb 0.7545 0.7545 0.7545  3 Cu 2.82